A plane-wave DFT calculation with PBE-GGA was carried out for NaLiAs2Br after structural relaxation.

a b c (Å): 4.429 4.429 6.620
angles (deg): 90.00 90.00 90.00
Atoms (fractional coordinates):
Na (0.500, 0.500, 0.500)
As (0.500, 0.000, 0.000)
Li (0.000, 0.000, 0.000)
As (0.000, 0.500, 0.000)
Br (0.000, 0.000, 0.500)

Values from the calculation:
As for the relative energy among the computed polymorphs: 0.00 eV per formula unit. The value obtained for the size of the total moment is 0.001 Bohr magnetons per cell. The value obtained for the density of states at the Fermi level is 0.6431 states/eV/atom.


A plane-wave DFT calculation with PBE-GGA was carried out for LiNbAsBr2 after structural relaxation.

a b c (Å): 5.309 5.309 5.017
angles (deg): 90.00 90.00 90.00
Last column: magnetic moment on the atom in μB.
Atoms (fractional coordinates):
Nb (0.000, 0.000, 0.000)  0.26
Br (0.500, 0.000, 0.000)  0.01
Li (0.500, 0.500, 0.500)  0.00
As (0.000, 0.000, 0.500)  -0.02
Br (0.000, 0.500, 0.000)  0.01

Values from the calculation:
As for the relative energy among the computed polymorphs: 0.00 eV per formula unit. The value obtained for the size of the total moment is 0.268 Bohr magnetons per cell. The value obtained for the density of states at the Fermi level is 0.3632 states/eV/atom.


A plane-wave DFT calculation with PBE-GGA was carried out for LiNbAs2Br after structural relaxation.

a b c (Å): 4.472 4.472 4.986
angles (deg): 90.00 90.00 90.00
Last column: magnetic moment on the atom in μB.
Atoms (fractional coordinates):
Br (0.000, 0.000, 0.500)  -0.10
Nb (0.500, 0.500, 0.500)  2.01
As (0.500, 0.000, 0.000)  -0.10
Li (0.000, 0.000, 0.000)  0.01
As (0.000, 0.500, 0.000)  -0.10

Values from the calculation:
As for the relative energy among the computed polymorphs: 3.61 eV per formula unit. The value obtained for the size of the total moment is 1.946 Bohr magnetons per cell. The value obtained for the density of states at the Fermi level is 0.7955 states/eV/atom.


A plane-wave DFT calculation with PBE-GGA was carried out for LiNbAs2Br after structural relaxation.

a b c (Å): 4.975 4.975 5.536
angles (deg): 90.00 90.00 90.00
Atoms (fractional coordinates):
Li (0.500, 0.500, 0.500)
As (0.000, 0.500, 0.000)
As (0.500, 0.000, 0.000)
Nb (0.000, 0.000, 0.000)
Br (0.000, 0.000, 0.500)

Values from the calculation:
As for the relative energy among the computed polymorphs: 0.00 eV per formula unit. The value obtained for the size of the total moment is 0.000 Bohr magnetons per cell. The value obtained for the density of states at the Fermi level is 0.6544 states/eV/atom.


A plane-wave DFT calculation with PBE-GGA was carried out for LiNbAsBr2 after structural relaxation.

a b c (Å): 4.600 4.600 5.266
angles (deg): 90.00 90.00 90.00
Last column: magnetic moment on the atom in μB.
Atoms (fractional coordinates):
As (0.000, 0.000, 0.500)  -0.50
Nb (0.500, 0.500, 0.500)  2.08
Br (0.000, 0.500, 0.000)  -0.14
Li (0.000, 0.000, 0.000)  -0.03
Br (0.500, 0.000, 0.000)  -0.14

Values from the calculation:
As for the relative energy among the computed polymorphs: 3.37 eV per formula unit. The value obtained for the size of the total moment is 1.118 Bohr magnetons per cell. The value obtained for the density of states at the Fermi level is 0.8231 states/eV/atom.


A plane-wave DFT calculation with PBE-GGA was carried out for LiNiAs2Br after structural relaxation.

a b c (Å): 4.342 6.846 4.342
angles (deg): 90.00 90.00 90.00
Atoms (fractional coordinates):
Ni (0.000, 0.000, 0.000)
As (0.000, 0.000, 0.500)
Br (0.500, 0.500, 0.500)
Li (0.000, 0.500, 0.000)
As (0.500, 0.000, 0.000)

Values from the calculation:
As for the relative energy among the computed polymorphs: 0.00 eV per formula unit. The value obtained for the size of the total moment is 0.000 Bohr magnetons per cell. The value obtained for the density of states at the Fermi level is 0.1815 states/eV/atom.


A plane-wave DFT calculation with PBE-GGA was carried out for LiNiAs2Br after structural relaxation.

a b c (Å): 4.327 4.327 9.043
angles (deg): 90.00 90.00 90.00
Atoms (fractional coordinates):
As (0.000, 0.500, 0.000)
Ni (0.000, 0.000, 0.000)
Br (0.000, 0.000, 0.500)
As (0.500, 0.000, 0.000)
Li (0.500, 0.500, 0.500)

Values from the calculation:
As for the relative energy among the computed polymorphs: 0.12 eV per formula unit. The value obtained for the size of the total moment is 0.000 Bohr magnetons per cell. The value obtained for the density of states at the Fermi level is 0.3456 states/eV/atom.


A plane-wave DFT calculation with PBE-GGA was carried out for LiNi2AsBr after structural relaxation.

a b c (Å): 4.376 4.259 4.376
angles (deg): 90.00 90.00 90.00
Atoms (fractional coordinates):
Br (0.500, 0.500, 0.500)
Li (0.000, 0.000, 0.000)
As (0.000, 0.500, 0.000)
Ni (0.500, 0.000, 0.000)
Ni (0.000, 0.000, 0.500)

Values from the calculation:
The total energy is -15.8 eV for the cell shown. The value obtained for the size of the total moment is 0.000 Bohr magnetons per cell. The value obtained for the density of states at the Fermi level is 0.8293 states/eV/atom.


A plane-wave DFT calculation with PBE-GGA was carried out for LiNiAs2Br after structural relaxation.

a b c (Å): 4.513 4.513 4.861
angles (deg): 90.00 90.00 90.00
Last column: magnetic moment on the atom in μB.
Atoms (fractional coordinates):
Br (0.000, 0.000, 0.500)  0.01
As (0.500, 0.000, 0.000)  -0.01
As (0.000, 0.500, 0.000)  -0.01
Li (0.000, 0.000, 0.000)  0.00
Ni (0.500, 0.500, 0.500)  0.33

Values from the calculation:
As for the relative energy among the computed polymorphs: 4.29 eV per formula unit. The value obtained for the size of the total moment is 0.303 Bohr magnetons per cell. The value obtained for the density of states at the Fermi level is 1.0212 states/eV/atom.


A plane-wave DFT calculation with PBE-GGA was carried out for LiAs2BrO after structural relaxation.

a b c (Å): 4.585 4.585 4.618
angles (deg): 90.00 90.00 90.00
Last column: magnetic moment on the atom in μB.
Atoms (fractional coordinates):
As (0.000, 0.500, 0.000)  -0.06
Br (0.000, 0.000, 0.500)  0.00
Li (0.000, 0.000, 0.000)  -0.01
O (0.500, 0.500, 0.500)  0.86
As (0.500, 0.000, 0.000)  -0.06

Values from the calculation:
As for the relative energy among the computed polymorphs: 4.98 eV per formula unit. The value obtained for the size of the total moment is 0.779 Bohr magnetons per cell. The value obtained for the density of states at the Fermi level is 0.9063 states/eV/atom.


A plane-wave DFT calculation with PBE-GGA was carried out for LiAs2BrO after structural relaxation.

a b c (Å): 4.100 4.100 7.443
angles (deg): 90.00 90.00 90.00
Atoms (fractional coordinates):
Br (0.000, 0.000, 0.500)
As (0.000, 0.500, 0.000)
O (0.000, 0.000, 0.000)
As (0.500, 0.000, 0.000)
Li (0.500, 0.500, 0.500)

Values from the calculation:
As for the relative energy among the computed polymorphs: 0.00 eV per formula unit. The value obtained for the size of the total moment is 0.000 Bohr magnetons per cell. The value obtained for the density of states at the Fermi level is 0.6812 states/eV/atom.


A plane-wave DFT calculation with PBE-GGA was carried out for LiAsOsBr2 after structural relaxation.

a b c (Å): 5.386 5.386 4.631
angles (deg): 90.00 90.00 90.00
Atoms (fractional coordinates):
Br (0.000, 0.500, 0.000)
Li (0.500, 0.500, 0.500)
Os (0.000, 0.000, 0.000)
As (0.000, 0.000, 0.500)
Br (0.500, 0.000, 0.000)

Values from the calculation:
As for the relative energy among the computed polymorphs: 0.00 eV per formula unit. The value obtained for the size of the total moment is 0.000 Bohr magnetons per cell. The value obtained for the density of states at the Fermi level is 1.1044 states/eV/atom.


A plane-wave DFT calculation with PBE-GGA was carried out for LiAs2PBr after structural relaxation.

a b c (Å): 4.556 4.556 8.267
angles (deg): 90.00 90.00 90.00
Atoms (fractional coordinates):
As (0.500, 0.000, 0.000)
Li (0.500, 0.500, 0.500)
P (0.000, 0.000, 0.000)
As (0.000, 0.500, 0.000)
Br (0.000, 0.000, 0.500)

Values from the calculation:
As for the relative energy among the computed polymorphs: 0.00 eV per formula unit. The value obtained for the size of the total moment is 0.000 Bohr magnetons per cell. The value obtained for the density of states at the Fermi level is 0.3303 states/eV/atom.


A plane-wave DFT calculation with PBE-GGA was carried out for LiAs2PBr after structural relaxation.

a b c (Å): 4.758 4.758 4.500
angles (deg): 90.00 90.00 90.00
Atoms (fractional coordinates):
Br (0.000, 0.000, 0.500)
Li (0.000, 0.000, 0.000)
P (0.500, 0.500, 0.500)
As (0.500, 0.000, 0.000)
As (0.000, 0.500, 0.000)

Values from the calculation:
As for the relative energy among the computed polymorphs: 2.61 eV per formula unit. The value obtained for the size of the total moment is 0.000 Bohr magnetons per cell. The value obtained for the density of states at the Fermi level is 1.0270 states/eV/atom.